Record 1
This record from Alexandria via LeMat-Bulk describes a relaxed structure of In2PtBr. The functional is PBE-GGA.

a = 7.931 Å, b = 7.931 Å, c = 7.931 Å
α = 28.96°, β = 28.96°, γ = 28.96°
Atoms (fractional coordinates):
In1 0.233 0.233 0.233
In2 0.999 0.999 0.999
Pt1 0.508 0.508 0.508
Br1 0.760 0.760 0.760

Calculated values
M_tot: 0.00 μB/f.u.
crystal system: trigonal
energy relative to the lowest polymorph listed for this composition: 1.18 eV per formula unit
mass density: 8.10 g/cm3



Record 2
This record from Alexandria via LeMat-Bulk describes a relaxed structure of InPtBr3. The functional is PBE-GGA.

a = 5.226 Å, b = 5.226 Å, c = 5.226 Å
α = 90.00°, β = 90.00°, γ = 90.00°
Atoms (fractional coordinates):
In1 0.500 0.500 0.500
Br1 0.000 0.500 0.000
Br2 0.000 0.000 0.500
Br3 0.500 0.000 0.000
Pt1 0.000 0.000 0.000

Calculated values
M_tot: 0.00 μB/f.u.
crystal system: cubic
energy relative to the lowest polymorph listed for this composition: 0.00 eV per formula unit
mass density: 6.39 g/cm3



Record 3
This record from Alexandria via LeMat-Bulk describes a relaxed structure of In2PtBr. The functional is PBE-GGA.

a = 5.358 Å, b = 5.352 Å, c = 3.133 Å
α = 90.00°, β = 90.00°, γ = 90.00°
Atoms (fractional coordinates):
In1 0.000 0.000 0.000
In2 0.500 0.500 0.000
Pt1 0.500 0.000 0.500
Br1 0.000 0.500 0.500

Calculated values
M_tot: 0.00 μB/f.u.
crystal system: tetragonal
energy relative to the lowest polymorph listed for this composition: 1.06 eV per formula unit
mass density: 9.33 g/cm3



Record 4
This record from Alexandria via LeMat-Bulk describes a relaxed structure of In4PtBr. The functional is PBE-GGA.

a = 6.058 Å, b = 6.058 Å, c = 6.058 Å
α = 60.00°, β = 60.00°, γ = 60.00°
Atoms (fractional coordinates):
In1 0.873 0.376 0.376
In2 0.376 0.873 0.376
In3 0.376 0.376 0.376
In4 0.376 0.376 0.873
Br1 0.000 0.000 0.000
Pt1 0.750 0.750 0.750

Calculated values
M_tot: 0.00 μB/f.u.
crystal system: cubic
mass density: 7.75 g/cm3



Record 5
This record from Alexandria via LeMat-Bulk describes a relaxed structure of In2PtBr. The functional is PBE-GGA.

a = 4.119 Å, b = 7.121 Å, c = 5.797 Å
α = 35.57°, β = 90.00°, γ = 90.00°
Atoms (fractional coordinates):
In1 0.500 0.500 0.000
In2 0.000 0.000 0.000
Br1 0.000 0.000 0.500
Pt1 0.500 0.500 0.500

Calculated values
M_tot: 0.00 μB/f.u.
crystal system: monoclinic
energy relative to the lowest polymorph listed for this composition: 0.64 eV per formula unit
mass density: 8.47 g/cm3



Record 6
This record from Alexandria via LeMat-Bulk describes a relaxed structure of In2PtBr. The functional is PBE-GGA.

a = 3.487 Å, b = 3.399 Å, c = 7.941 Å
α = 90.09°, β = 90.00°, γ = 90.00°
Atoms (fractional coordinates):
Br1 0.500 0.750 0.750
In1 0.000 0.751 0.447
In2 0.000 0.749 0.053
Pt1 0.500 0.250 0.250

Calculated values
M_tot: 0.00 μB/f.u.
crystal system: monoclinic
energy relative to the lowest polymorph listed for this composition: 0.30 eV per formula unit
mass density: 8.90 g/cm3



Record 7
This record from Alexandria via LeMat-Bulk describes a relaxed structure of In4PtBr2. The functional is PBE-GGA.

a = 5.230 Å, b = 5.230 Å, c = 9.262 Å
α = 73.60°, β = 73.60°, γ = 90.00°
Atoms (fractional coordinates):
Br1 0.350 0.350 0.300
Br2 0.650 0.650 0.700
In1 0.160 0.160 0.680
In2 0.500 0.000 0.000
In3 0.000 0.500 0.000
In4 0.840 0.840 0.320
Pt1 0.000 0.000 0.000

Calculated values
M_tot: 0.00 μB/f.u.
crystal system: tetragonal
mass density: 5.82 g/cm3



Record 8
This record from Alexandria via LeMat-Bulk describes a relaxed structure of In2PtBr. The functional is PBE-GGA.

a = 7.982 Å, b = 7.982 Å, c = 3.781 Å
α = 90.00°, β = 90.00°, γ = 26.05°
Atoms (fractional coordinates):
In1 0.018 0.018 0.125
In2 0.823 0.823 0.624
Pt1 0.462 0.462 0.625
Br1 0.197 0.197 0.125

Calculated values
M_tot: 0.00 μB/f.u.
crystal system: orthorhombic
energy relative to the lowest polymorph listed for this composition: 0.21 eV per formula unit
mass density: 7.92 g/cm3



Going through the records in order, we get final energy values of -13.691 -15.254 -13.807 -17.092 -14.231 -14.572 -23.582 -14.656 eV per cell.
Going through the records in order, we get energy relative to the elements, uncorrected values of -0.13 -0.29 -0.15 0.26 -0.26 -0.35 -0.46 -0.37 eV per atom.